Density functional theory data (PBE) for a geometry-optimized ErSnGeAu structure.

The structure in POSCAR format:
```
ErSnGeAu
1.0
5.027 0.000 0.000
2.514 4.354 0.000
2.514 1.451 4.105
Er Ge Au Sn
1 1 1 1
Cartesian
0.000 0.000 0.000
2.514 1.451 1.026
7.541 4.354 3.078
5.027 2.902 2.052
```

Size of the total moment: 0.00 μB/f.u.
Calculated volume: 90 Å³ per cell
Symmetry: F-43m
E_form: -0.37 eV per atom
D(E_F): 2.88 states/eV per cell